[1]
A plane-wave DFT calculation with PBE-GGA was carried out for crystalline CdCoAs2 at its relaxed geometry.

The structure belongs to space group P4/mmm (No. 123); the cell edges are 4.261, 4.261 and 3.789 Å and the angles 90.00°, 90.00° and 90.00°. The asymmetric unit holds Cd at (0.000, 0.000, 0.000), Co at (0.500, 0.500, 0.000) and As at (0.000, 0.500, 0.500).

Its electronic total energy is -3.924 eV per atom. As for the calculated density: 7.75 Mg/m³. For the formation energy, the calculation gives 0.406 eV per atom.


[2]
A plane-wave DFT calculation with PBE-GGA was carried out for crystalline CdCoAs2 at its relaxed geometry.

The structure belongs to space group Immm (No. 71); the cell edges are 2.882, 4.662 and 10.879 Å and the angles 90.00°, 90.00° and 90.00°. The asymmetric unit holds Cd at (0.000, 0.000, 0.000), Co at (0.000, 0.000, 0.500) and As at (0.000, 0.500, 0.176).

Its electronic total energy is -4.287 eV per atom. As for the calculated density: 7.30 Mg/m³. For the formation energy, the calculation gives 0.043 eV per atom.